No. 1
PmBeBi: relaxed, GGA-PBE.

Summary:
Crystal system: cubic
E above lowest polymorph: 75 meV per atom
Symmetry: F-43m
Volume: 90.5 Å³/cell

Lattice parameters (Å, degrees): 5.0404 5.0404 5.0404 60.00 60.00 60.00
Atoms (fractional coordinates):
Bi (0.7500, 0.7500, 0.7500)
Be (0.2500, 0.2500, 0.2500)
Pm (0.0000, 0.0000, 0.0000)

=====

No. 2
PrBeBi: relaxed, GGA-PBE.

Summary:
Crystal system: cubic
E above lowest polymorph: 0 meV per atom
Symmetry: F-43m
Volume: 76.4 Å³/cell

Lattice parameters (Å, degrees): 4.7639 4.7639 4.7639 60.00 60.00 60.00
Atoms (fractional coordinates):
Bi (0.2500, 0.2500, 0.2500)
Be (0.0000, 0.0000, 0.0000)
Pr (0.7500, 0.7500, 0.7500)

=====

No. 3
PrBeBi: relaxed, GGA-PBE.

Summary:
Crystal system: cubic
E above lowest polymorph: 384 meV per atom
Symmetry: F-43m
Volume: 94.2 Å³/cell

Lattice parameters (Å, degrees): 5.1072 5.1072 5.1072 60.00 60.00 60.00
Atoms (fractional coordinates):
Bi (0.7500, 0.7500, 0.7500)
Pr (0.0000, 0.0000, 0.0000)
Be (0.2500, 0.2500, 0.2500)

=====

No. 4
BeBiPt2: relaxed, GGA-PBE.

Summary:
Crystal system: cubic
Total energy: -4.80 eV per atom
Symmetry: F-43m
Volume: 69.0 Å³/cell

Lattice parameters (Å, degrees): 4.6030 4.6030 4.6030 60.00 60.00 60.00
Atoms (fractional coordinates):
Be (0.2500, 0.2500, 0.2500)
Pt (0.0000, 0.0000, 0.0000)
Bi (0.5000, 0.5000, 0.5000)
Pt (0.7500, 0.7500, 0.7500)

=====

No. 5
Be2BiPt: relaxed, GGA-PBE.

Summary:
Crystal system: cubic
Total energy: -3.85 eV per atom
Symmetry: F-43m
Volume: 65.8 Å³/cell

Lattice parameters (Å, degrees): 4.5312 4.5312 4.5312 60.00 60.00 60.00
Atoms (fractional coordinates):
Pt (0.2500, 0.2500, 0.2500)
Be (0.7500, 0.7500, 0.7500)
Bi (0.5000, 0.5000, 0.5000)
Be (0.0000, 0.0000, 0.0000)

=====

No. 6
Be2ReBi: relaxed, GGA-PBE.

Summary:
Crystal system: cubic
Total energy: -4.86 eV per atom
Symmetry: F-43m
Volume: 62.3 Å³/cell

Lattice parameters (Å, degrees): 4.4496 4.4496 4.4496 60.00 60.00 60.00
Atoms (fractional coordinates):
Bi (0.5000, 0.5000, 0.5000)
Be (0.0000, 0.0000, 0.0000)
Be (0.7500, 0.7500, 0.7500)
Re (0.2500, 0.2500, 0.2500)

=====

No. 7
BeReBi: relaxed, GGA-PBE.

Summary:
Crystal system: cubic
Total energy: -5.72 eV per atom
Symmetry: F-43m
Volume: 52.1 Å³/cell

Lattice parameters (Å, degrees): 4.1920 4.1920 4.1920 60.00 60.00 60.00
Atoms (fractional coordinates):
Bi (0.2500, 0.2500, 0.2500)
Be (0.0000, 0.0000, 0.0000)
Re (0.7500, 0.7500, 0.7500)

=====

No. 8
BeRe2Bi: relaxed, GGA-PBE.

Summary:
Crystal system: cubic
Total energy: -7.23 eV per atom
Symmetry: F-43m
Volume: 65.5 Å³/cell

Lattice parameters (Å, degrees): 4.5252 4.5252 4.5252 60.00 60.00 60.00
Atoms (fractional coordinates):
Re (0.7500, 0.7500, 0.7500)
Bi (0.5000, 0.5000, 0.5000)
Be (0.2500, 0.2500, 0.2500)
Re (0.0000, 0.0000, 0.0000)

=====

No. 9
BeReSiBi: relaxed, GGA-PBE.

Summary:
Crystal system: cubic
E above lowest polymorph: 50 meV per atom
Symmetry: F-43m
Volume: 65.9 Å³/cell

Lattice parameters (Å, degrees): 4.5328 4.5328 4.5328 60.00 60.00 60.00
Atoms (fractional coordinates):
Be (0.7500, 0.7500, 0.7500)
Re (0.5000, 0.5000, 0.5000)
Si (0.2500, 0.2500, 0.2500)
Bi (0.0000, 0.0000, 0.0000)

=====

No. 10
BeReSiBi: relaxed, GGA-PBE.

Summary:
Crystal system: cubic
E above lowest polymorph: 0 meV per atom
Symmetry: F-43m
Volume: 65.9 Å³/cell

Lattice parameters (Å, degrees): 4.5334 4.5334 4.5334 60.00 60.00 60.00
Atoms (fractional coordinates):
Be (0.7500, 0.7500, 0.7500)
Si (0.0000, 0.0000, 0.0000)
Bi (0.5000, 0.5000, 0.5000)
Re (0.2500, 0.2500, 0.2500)

=====

No. 11
ScBeZnBi: relaxed, GGA-PBE.

Summary:
Crystal system: cubic
E above lowest polymorph: 39 meV per atom
Symmetry: F-43m
Volume: 79.6 Å³/cell

Lattice parameters (Å, degrees): 4.8293 4.8293 4.8293 60.00 60.00 60.00
Atoms (fractional coordinates):
Be (0.2500, 0.2500, 0.2500)
Sc (0.7500, 0.7500, 0.7500)
Bi (0.0000, 0.0000, 0.0000)
Zn (0.5000, 0.5000, 0.5000)

=====

No. 12
ScBeZnBi: relaxed, GGA-PBE.

Summary:
Crystal system: cubic
E above lowest polymorph: 0 meV per atom
Symmetry: F-43m
Volume: 79.8 Å³/cell

Lattice parameters (Å, degrees): 4.8323 4.8323 4.8323 60.00 60.00 60.00
Atoms (fractional coordinates):
Bi (0.2500, 0.2500, 0.2500)
Zn (0.0000, 0.0000, 0.0000)
Be (0.5000, 0.5000, 0.5000)
Sc (0.7500, 0.7500, 0.7500)